Entry 1:
The following is a DFT calculation (GGA-PBE) of a relaxed structure of Mg3AgHg3Rh2.

## Properties
**Uncorrected energy**: -24.7 eV per formula unit
**Energy relative to the elements**: -142 kJ/mol of formula units

Cell: 7.892 7.892 3.151 Å, 90.00 90.00 120.00°
Fractional positions:
Mg  0.000  0.389  0.000
Mg  0.389  0.000  0.000
Mg  0.611  0.611  0.000
Ag  0.000  0.000  0.000
Hg  0.000  0.699  0.500
Hg  0.301  0.301  0.500
Hg  0.699  0.000  0.500
Rh  0.333  0.667  0.500
Rh  0.667  0.333  0.500

---

Entry 2:
The following is a DFT calculation (GGA-PBE) of a relaxed structure of TcBrF3.

## Properties
**Uncorrected energy**: -22.8 eV per formula unit
**Formation energy from raw total energies**: -1.032 eV per atom
**Excess energy over the best structure of this formula in the dataset**: 0.532 eV per atom

Cell: 4.251 4.251 4.251 Å, 90.00 90.00 90.00°
Fractional positions:
Tc  0.000  0.000  0.000
Br  0.500  0.500  0.500
F  0.000  0.000  0.500
F  0.000  0.500  0.000
F  0.500  0.000  0.000

---

Entry 3:
The following is a DFT calculation (GGA-PBE) of a relaxed structure of Cs2YCd2Se4.

## Properties
**Uncorrected energy**: -34.0 eV per formula unit
**Formation energy from raw total energies**: -1.113 eV per atom

Cell: 8.790 8.790 8.838 Å, 111.82 111.82 27.98°
Fractional positions:
Cs  0.128  0.128  0.063
Cs  0.872  0.872  0.937
Y  0.000  0.000  0.500
Cd  0.314  0.314  0.487
Cd  0.686  0.686  0.513
Se  0.181  0.181  0.706
Se  0.476  0.476  0.708
Se  0.524  0.524  0.292
Se  0.819  0.819  0.294

---

Which of these has the lowest uncorrected energy? Cs2YCd2Se4